Run P
Entry from the Alexandria database: a relaxed ErPd6Au2 crystal (PBE).

abc: 9.879 12.004 5.472
angles: 90.00 104.55 90.00
Space group C2/c (No. 15)
Asymmetric unit:
1 Er 0.000 0.101 0.250 x4
2 Pd 0.045 0.308 0.016 x8
3 Pd 0.141 0.113 0.812 x8
4 Pd 0.236 0.312 0.696 x8
5 Au 0.147 0.485 0.365 x8

Run Q
Entry from the Alexandria database: a relaxed ErPd6Au2 crystal (PBE).

abc: 4.5224 4.5224 27.8977
angles: 90.00 90.00 120.00
Space group R-3m (No. 166, hexagonal axes)
Asymmetric unit:
1 Er 0.0000 0.0000 0.0000 x3
2 Pd 0.0000 0.0000 0.1990 x6
3 Pd 0.0000 0.0000 0.2980 x6
4 Pd 0.0000 0.0000 0.4038 x6
5 Au 0.0000 0.0000 0.1021 x6

Relative to the most stable structure, the computed energies are run P 0; run Q 69, all in meV per atom.